VASP calculation (GGA-PBEsol) on K2SbPb after structural relaxation.

Lattice parameters (Å, degrees): 5.335 5.335 9.312 90.00 90.00 90.00
Space group I-4m2 (No. 119)
Symmetry-distinct sites (fractional):
1 K 0.000 0.000 0.000 x2
2 K 0.000 0.500 0.250 x2
3 Sb 0.000 0.500 0.750 x2
4 Pb 0.000 0.000 0.500 x2

## Properties
DOS(E_F) ... 3.33 states/eV per cell
E_form (uncorrected) ... -181.1 meV per atom
Excess energy over the best structure of this formula in the dataset ... 0.109 eV/atom

VASP calculation (GGA-PBEsol) on K2SbPb after structural relaxation.

Lattice parameters (Å, degrees): 4.427 5.760 11.189 90.00 90.00 90.00
Space group Imm2 (No. 44)
Symmetry-distinct sites (fractional):
1 K 0.000 0.000 0.000 x2
2 K 0.000 0.500 0.209 x2
3 Sb 0.000 0.000 0.446 x2
4 Pb 0.000 0.500 0.773 x2

## Properties
DOS(E_F) ... 3.57 states/eV per cell
E_form (uncorrected) ... -290.0 meV per atom
Excess energy over the best structure of this formula in the dataset ... 0.000 eV/atom

VASP calculation (GGA-PBEsol) on KSbPb2 after structural relaxation.

Lattice parameters (Å, degrees): 4.477 5.030 11.521 90.00 90.00 90.00
Space group Imm2 (No. 44)
Symmetry-distinct sites (fractional):
1 K 0.000 0.000 0.000 x2
2 Sb 0.000 0.500 0.263 x2
3 Pb 0.000 0.000 0.583 x2
4 Pb 0.000 0.500 0.767 x2

## Properties
DOS(E_F) ... 2.06 states/eV per cell
E_form (uncorrected) ... -132.9 meV per atom

VASP calculation (GGA-PBEsol) on KSb2Pb after structural relaxation.

Lattice parameters (Å, degrees): 10.816 4.042 6.090 90.00 105.13 90.00
Space group Cm (No. 8)
Symmetry-distinct sites (fractional):
1 K 0.000 0.000 0.000 x2
2 Sb 0.265 0.500 0.329 x2
3 Sb 0.488 0.000 0.480 x2
4 Pb 0.230 0.000 0.684 x2

## Properties
DOS(E_F) ... 3.07 states/eV per cell
E_form (uncorrected) ... -145.2 meV per atom

VASP calculation (GGA-PBEsol) on KSb2Pb after structural relaxation.

Lattice parameters (Å, degrees): 8.936 8.936 6.515 90.00 90.00 90.00
Space group I-42d (No. 122)
Symmetry-distinct sites (fractional):
1 K 0.000 0.000 0.000 x4
2 Sb 0.217 0.750 0.625 x8
3 Pb 0.000 0.000 0.500 x4

## Properties
DOS(E_F) ... 11.10 states/eV per cell
E_form (uncorrected) ... -6.3 meV per atom

VASP calculation (GGA-PBEsol) on KSbPb2 after structural relaxation.

Lattice parameters (Å, degrees): 4.233 4.233 7.339 90.00 90.00 90.00
Space group P4mm (No. 99)
Symmetry-distinct sites (fractional):
1 K 0.000 0.000 0.000 x1
2 Sb 0.500 0.500 0.702 x1
3 Pb 0.000 0.000 0.525 x1
4 Pb 0.500 0.500 0.305 x1

## Properties
DOS(E_F) ... 2.18 states/eV per cell
E_form (uncorrected) ... -132.3 meV per atom

VASP calculation (GGA-PBEsol) on KScPb after structural relaxation.

Lattice parameters (Å, degrees): 7.439 7.439 7.439 90.00 90.00 90.00
Space group F-43m (No. 216)
Symmetry-distinct sites (fractional):
1 K 0.000 0.000 0.000 x4
2 Sc 0.000 0.000 0.500 x4
3 Pb 0.250 0.250 0.750 x4

## Properties
ΔH_f (0 K) ... 19 kJ per mole of atoms

VASP calculation (GGA-PBEsol) on K2ScPb after structural relaxation.

Lattice parameters (Å, degrees): 6.364 12.953 3.628 90.00 119.68 90.00
Space group C2/m (No. 12)
Symmetry-distinct sites (fractional):
1 K 0.250 0.250 0.000 x4
2 Sc 0.000 0.000 0.500 x2
3 Pb 0.000 0.500 0.500 x2

## Properties
ΔH_f (0 K) ... 26 kJ per mole of atoms
DOS(E_F) ... 7.04 states/eV per cell

| no. | calculated density (Mg/m³) | V (Å³/f.u.) | total moment (μB/atom) |
| --- | --- | --- | --- |
| 1 | 5.10 | 133 | 0.00 |
| 2 | 4.74 | 143 | 0.00 |
| 3 | 7.36 | 130 | 0.00 |
| 4 | 6.33 | 129 | 0.00 |
| 5 | 6.25 | 130 | 0.00 |
| 6 | 7.27 | 131 | 0.00 |
| 7 | 4.70 | 103 | 0.00 |
| 8 | 4.22 | 130 | 0.31 |